1.
The following is a GGA-PBE calculation of a relaxed structure of TlIn2Br, from the Alexandria database.

a b c (Å): 3.6043 3.6043 9.2568
angles (deg): 90.00 90.00 90.00
With the nearest neighbours (Å) after each atom.
Element x y z (fractional)
Tl  0.0000  0.0000  0.0000  4 Br 3.33, 4 Tl 3.60, 4 In 3.65
In  0.0000  0.0000  0.4811  8 In 3.36-3.60, 4 Br 3.44
In  0.5000  0.5000  0.7172  8 In 3.36-3.60, 4 Tl 3.65
Br  0.5000  0.5000  0.2319  4 Tl 3.33, 4 In 3.44, 4 Br 3.60

Summary:
mass density: 7097 kg/m3
raw formation energy: -191 meV/atom
energy above the lowest structure with this stoichiometry: 63 meV/atom

---

2.
The following is a GGA-PBE calculation of a relaxed structure of Li2La3In4, from the Alexandria database.

a b c (Å): 6.2572 6.2572 9.5762
angles (deg): 115.05 115.05 47.74
With the nearest neighbours (Å) after each atom.
Element x y z (fractional)
Li  0.0966  0.0966  0.2668  3 In 2.90
Li  0.9034  0.9034  0.7332  3 In 2.90
La  0.1702  0.1702  0.6570  8 In 3.39-3.75, 4 Li 3.43-3.50, 2 La 3.66-3.68
La  0.5000  0.5000  0.0000  8 In 3.36-3.51, 4 Li 3.40, 2 La 3.68
La  0.8298  0.8298  0.3430  8 In 3.39-3.75, 4 Li 3.43-3.50, 2 La 3.66-3.68
In  0.2353  0.2353  0.0786  1 Li 2.90, 2 In 3.04
In  0.4605  0.4605  0.6303  2 Li 2.90, 1 In 3.02
In  0.5395  0.5395  0.3697  2 Li 2.90, 1 In 3.02
In  0.7647  0.7647  0.9214  1 Li 2.90, 2 In 3.04

Summary:
energy of formation from the pure elements: -0.4487 eV/atom
mass density: 6008 kg/m3

---

3.
The following is a GGA-PBE calculation of a relaxed structure of BaSc2Te, from the Alexandria database.

a b c (Å): 3.9528 3.9528 29.5038
angles (deg): 90.00 90.00 120.00
With the nearest neighbours (Å) after each atom.
Element x y z (fractional)
Ba  0.0000  0.0000  0.0000  6 Sc 3.89, 6 Ba 3.95
Ba  0.3333  0.6667  0.6667  6 Sc 3.89, 6 Ba 3.95
Ba  0.6667  0.3333  0.3333  6 Sc 3.89, 6 Ba 3.95
Sc  0.0000  0.0000  0.2265  3 Te 2.88
Sc  0.0000  0.0000  0.7735  3 Te 2.88
Sc  0.3333  0.6667  0.4402  3 Te 2.88
Sc  0.3333  0.6667  0.8931  3 Te 2.88
Sc  0.6667  0.3333  0.1069  3 Te 2.88
Sc  0.6667  0.3333  0.5598  3 Te 2.88
Te  0.0000  0.0000  0.5000  6 Sc 2.88
Te  0.3333  0.6667  0.1667  6 Sc 2.88
Te  0.6667  0.3333  0.8333  6 Sc 2.88

Summary:
mass density: 4428 kg/m3
raw formation energy: -287 meV/atom

---

Energy readings, ordered: -2.5703, -3.7336, -4.7187 eV/atom